1.
An optimized crystal structure of LiDyPdAu. Source: the Alexandria database, functional GGA-PBE.

Geometry as CIF:
```
data_LiDyPdAu
_chemical_formula_sum 'Li1 Dy1 Pd1 Au1'
_symmetry_space_group_name_H-M 'P 1'
_symmetry_Int_Tables_number 1
_cell_length_a 4.7875
_cell_length_b 4.7875
_cell_length_c 4.7875
_cell_angle_alpha 60.00
_cell_angle_beta 60.00
_cell_angle_gamma 60.00
loop_
_symmetry_equiv_pos_as_xyz
'x,y,z'
loop_
_atom_site_label
_atom_site_type_symbol
_atom_site_fract_x
_atom_site_fract_y
_atom_site_fract_z
Li1 Li 0.2500 0.2500 0.2500
Au1 Au 0.0000 0.0000 0.0000
Dy1 Dy 0.7500 0.7500 0.7500
Pd1 Pd 0.5000 0.5000 0.5000
```

Properties
Volume ... 77.6 Å³ per cell
Calculated formation energy ... -267.9 kJ/mol of formula units
E_tot ... -4.441 eV per atom
Density ... 10.12 g/cm³

***

2.
An optimized crystal structure of LiPmDy2Au4. Source: the Alexandria database, functional GGA-PBE.

Geometry as CIF:
```
data_LiPmDy2Au4
_chemical_formula_sum 'Li1 Pm1 Dy2 Au4'
_symmetry_space_group_name_H-M 'P 1'
_symmetry_Int_Tables_number 1
_cell_length_a 5.0051
_cell_length_b 5.0051
_cell_length_c 8.7873
_cell_angle_alpha 73.45
_cell_angle_beta 73.45
_cell_angle_gamma 60.00
loop_
_symmetry_equiv_pos_as_xyz
'x,y,z'
loop_
_atom_site_label
_atom_site_type_symbol
_atom_site_fract_x
_atom_site_fract_y
_atom_site_fract_z
Li1 Li 0.5000 0.5000 0.5000
Pm1 Pm 0.0000 0.0000 0.0000
Dy1 Dy 0.7591 0.7591 0.7226
Au1 Au 0.6154 0.6154 0.1538
Au2 Au 0.1216 0.1216 0.6351
Au3 Au 0.8784 0.8784 0.3649
Au4 Au 0.3846 0.3846 0.8462
Dy2 Dy 0.2409 0.2409 0.2774
```

Properties
Volume ... 180.0 Å³ per cell
Calculated formation energy ... -581.7 kJ/mol of formula units
E_tot ... -4.376 eV per atom
Density ... 11.67 g/cm³

***

3.
An optimized crystal structure of Li2PmDyAu4. Source: the Alexandria database, functional GGA-PBE.

Geometry as CIF:
```
data_Li2PmDyAu4
_chemical_formula_sum 'Li2 Pm1 Dy1 Au4'
_symmetry_space_group_name_H-M 'P 1'
_symmetry_Int_Tables_number 1
_cell_length_a 4.9818
_cell_length_b 4.9818
_cell_length_c 8.3110
_cell_angle_alpha 72.56
_cell_angle_beta 72.56
_cell_angle_gamma 60.00
loop_
_symmetry_equiv_pos_as_xyz
'x,y,z'
loop_
_atom_site_label
_atom_site_type_symbol
_atom_site_fract_x
_atom_site_fract_y
_atom_site_fract_z
Dy1 Dy 0.5000 0.5000 0.5000
Li1 Li 0.2499 0.2499 0.2502
Pm1 Pm 0.0000 0.0000 0.0000
Au1 Au 0.1314 0.1314 0.6058
Li2 Li 0.7501 0.7501 0.7498
Au2 Au 0.8686 0.8686 0.3942
Au3 Au 0.6269 0.6269 0.1192
Au4 Au 0.3731 0.3731 0.8808
```

Properties
Volume ... 167.6 Å³ per cell
Calculated formation energy ... -534.8 kJ/mol of formula units
E_tot ... -3.979 eV per atom
Density ... 10.99 g/cm³

***

It is found that the magnetization values, taken in the order of the records, are 0.0; 0.0; 0.0 μB per formula unit.